# 1
Material: MnC3
Method: DFT, PBEsol
State: relaxed

As for the formation energy: 1.917 eV/atom.

It has space group P4/mmm (No. 123), with a = 2.936 Å, b = 2.936 Å, c = 3.763 Å, α = 90.00°, β = 90.00° and γ = 90.00°. Symmetry generates all atoms from Mn at (0.000, 0.000, 0.000), C at (0.000, 0.000, 0.500) and C at (0.500, 0.500, 0.179).


# 2
Material: NaSr2Ag
Method: DFT, PBEsol
State: relaxed

As for the formation energy: -0.037 eV/atom.

It has space group Fm-3m (No. 225), with a = 8.124 Å, b = 8.124 Å, c = 8.124 Å, α = 90.00°, β = 90.00° and γ = 90.00°. Symmetry generates all atoms from Na at (0.000, 0.000, 0.000), Sr at (0.250, 0.250, 0.250) and Ag at (0.000, 0.000, 0.500).


# 3
Material: HfMnCoBr2
Method: DFT, PBEsol
State: relaxed

The formation energy from raw total energies is 0.68 eV per atom.

It has space group P4/mmm (No. 123), with a = 4.646 Å, b = 4.646 Å, c = 4.812 Å, α = 90.00°, β = 90.00° and γ = 90.00°. Symmetry generates all atoms from Hf at (0.000, 0.000, 0.000), Mn at (0.500, 0.500, 0.000), Co at (0.000, 0.000, 0.500) and Br at (0.000, 0.500, 0.500).


# 4
Material: YZn2Rh
Method: DFT, PBEsol
State: relaxed

As for the formation energy: -0.470 eV/atom.

It has space group I4/mmm (No. 139), with a = 4.052 Å, b = 4.052 Å, c = 8.046 Å, α = 90.00°, β = 90.00° and γ = 90.00°. Symmetry generates all atoms from Y at (0.000, 0.000, 0.000), Zn at (0.000, 0.500, 0.250) and Rh at (0.000, 0.000, 0.500).


# 5
Material: TaCl5
Method: DFT, PBEsol
State: relaxed

The formation energy from raw total energies is -1.32 eV per atom.

It has space group C2/m (No. 12), with a = 18.776 Å, b = 18.096 Å, c = 5.994 Å, α = 90.00°, β = 90.67° and γ = 90.00°. Symmetry generates all atoms from Ta at (0.000, 0.108, 0.000), Ta at (0.167, 0.392, 0.476), Cl at (0.051, 0.000, 0.217), Cl at (0.055, 0.187, 0.238), Cl at (0.069, 0.404, 0.243), Cl at (0.098, 0.096, 0.776), Cl at (0.111, 0.313, 0.709), Cl at (0.116, 0.500, 0.688), Cl at (0.218, 0.500, 0.263), Cl at (0.223, 0.313, 0.243) and Cl at (0.235, 0.096, 0.292).


# 6
Material: MnP4
Method: DFT, PBEsol
State: relaxed

As for the formation energy: -0.378 eV/atom.

It has space group C2/c (No. 15), with a = 5.072 Å, b = 10.472 Å, c = 10.925 Å, α = 90.00°, β = 93.25° and γ = 90.00°. Symmetry generates all atoms from Mn at (0.000, 0.098, 0.250), Mn at (0.250, 0.250, 0.500), P at (0.047, 0.093, 0.045), P at (0.056, 0.398, 0.025), P at (0.197, 0.249, 0.710) and P at (0.200, 0.445, 0.217).


What did the sixth record say?
Material: MnP4
Method: DFT, PBEsol
State: relaxed

As for the formation energy: -0.378 eV/atom.

It has space group C2/c (No. 15), with a = 5.072 Å, b = 10.472 Å, c = 10.925 Å, α = 90.00°, β = 93.25° and γ = 90.00°. Symmetry generates all atoms from Mn at (0.000, 0.098, 0.250), Mn at (0.250, 0.250, 0.500), P at (0.047, 0.093, 0.045), P at (0.056, 0.398, 0.025), P at (0.197, 0.249, 0.710) and P at (0.200, 0.445, 0.217).